Entry 1:
A plane-wave DFT calculation with PBE was carried out for a geometry-optimized AuI2 structure. Values from VASP.

E_tot = -2.167 eV/atom

Structure (Quantum ESPRESSO input):
```
&SYSTEM
  ibrav = 0, nat = 3, ntyp = 2
/
ATOMIC_SPECIES
Au 196.97 Au.upf
I 126.90 I.upf
CELL_PARAMETERS angstrom
4.044 0.004 0.001
1.994 4.651 0.004
1.994 1.459 6.722
ATOMIC_POSITIONS crystal
Au 0.000 0.500 0.500
I 0.499 0.248 0.754
I 0.501 0.752 0.246
```

***

Entry 2:
A plane-wave DFT calculation with PBE was carried out for a geometry-optimized NdDy2Ge2 structure. Values from VASP.

E_tot = -5.232 eV/atom

Structure (Quantum ESPRESSO input):
```
&SYSTEM
  ibrav = 0, nat = 10, ntyp = 3
/
ATOMIC_SPECIES
Nd 144.24 Nd.upf
Dy 162.50 Dy.upf
Ge 72.64 Ge.upf
CELL_PARAMETERS angstrom
4.536 0.000 0.000
0.000 5.690 -0.593
0.000 -2.576 10.953
ATOMIC_POSITIONS crystal
Nd 0.250 0.800 0.218
Nd 0.750 0.200 0.782
Dy 0.250 0.766 0.874
Dy 0.750 0.234 0.126
Dy 0.250 0.290 0.545
Dy 0.750 0.710 0.455
Ge 0.250 0.848 0.623
Ge 0.750 0.152 0.377
Ge 0.250 0.303 0.977
Ge 0.750 0.697 0.023
```

***

Entry 3:
A plane-wave DFT calculation with PBE was carried out for a geometry-optimized Pm2Er6Tm3 structure. Values from VASP.

E_tot = -4.384 eV/atom
ΔE to the lowest computed polymorph = 0 meV/atom

Structure (Quantum ESPRESSO input):
```
&SYSTEM
  ibrav = 0, nat = 11, ntyp = 3
/
ATOMIC_SPECIES
Pm 145.00 Pm.upf
Er 167.26 Er.upf
Tm 168.93 Tm.upf
CELL_PARAMETERS angstrom
5.789 0.000 1.738
2.894 5.246 0.869
-1.320 0.000 11.518
ATOMIC_POSITIONS crystal
Pm 0.166 0.668 0.500
Pm 0.834 0.332 0.500
Er 0.416 0.666 0.754
Er 0.750 0.000 0.754
Er 0.082 0.334 0.754
Er 0.250 0.000 0.246
Er 0.584 0.334 0.246
Er 0.918 0.666 0.246
Tm 0.000 0.000 0.000
Tm 0.335 0.331 0.000
Tm 0.665 0.669 0.000
```

***

Entry 4:
A plane-wave DFT calculation with PBE was carried out for a geometry-optimized AlCuH structure. Values from VASP.

E_tot = -3.569 eV/atom

Structure (Quantum ESPRESSO input):
```
&SYSTEM
  ibrav = 0, nat = 24, ntyp = 3
/
ATOMIC_SPECIES
H 1.01 H.upf
Al 26.98 Al.upf
Cu 63.55 Cu.upf
CELL_PARAMETERS angstrom
5.657 0.000 0.000
0.000 5.367 0.000
0.000 0.000 8.742
ATOMIC_POSITIONS crystal
H 0.750 0.338 0.848
H 0.250 0.662 0.152
H 0.750 0.838 0.152
H 0.250 0.162 0.348
H 0.250 0.162 0.848
H 0.750 0.838 0.652
H 0.250 0.662 0.652
H 0.750 0.338 0.348
Al 0.000 0.250 0.529
Al 0.000 0.750 0.471
Al 0.500 0.750 0.471
Al 0.000 0.250 0.029
Al 0.500 0.250 0.529
Al 0.000 0.750 0.971
Al 0.500 0.750 0.971
Al 0.500 0.250 0.029
Cu 0.750 0.034 0.804
Cu 0.250 0.966 0.196
Cu 0.750 0.534 0.196
Cu 0.250 0.466 0.304
Cu 0.250 0.466 0.804
Cu 0.750 0.534 0.696
Cu 0.250 0.966 0.696
Cu 0.750 0.034 0.304
```

***

Entry 5:
A plane-wave DFT calculation with PBE was carried out for a geometry-optimized MgReO3 structure. Values from VASP.

E_tot = -6.019 eV/atom

Structure (Quantum ESPRESSO input):
```
&SYSTEM
  ibrav = 0, nat = 5, ntyp = 3
/
ATOMIC_SPECIES
Re 186.21 Re.upf
Mg 24.30 Mg.upf
O 16.00 O.upf
CELL_PARAMETERS angstrom
3.718 0.000 0.000
0.000 3.718 0.000
0.000 0.000 3.718
ATOMIC_POSITIONS crystal
Re 0.500 0.500 0.500
Mg 0.000 0.000 0.000
O 0.000 0.500 0.000
O 0.000 0.000 0.500
O 0.500 0.000 0.000
```

***

Entry 6:
A plane-wave DFT calculation with PBE was carried out for a geometry-optimized HgRhIN2 structure. Values from VASP.

E_tot = -4.037 eV/atom
ΔE to the lowest computed polymorph = 0 meV/atom

Structure (Quantum ESPRESSO input):
```
&SYSTEM
  ibrav = 0, nat = 5, ntyp = 4
/
ATOMIC_SPECIES
I 126.90 I.upf
Rh 102.91 Rh.upf
Hg 200.59 Hg.upf
N 14.01 N.upf
CELL_PARAMETERS angstrom
3.928 0.000 0.000
0.000 3.928 0.000
0.000 0.000 7.783
ATOMIC_POSITIONS crystal
I 0.000 0.000 0.500
Rh 0.000 0.000 0.000
Hg 0.500 0.500 0.500
N 0.000 0.500 0.000
N 0.500 0.000 0.000
```

***

Entry 7:
A plane-wave DFT calculation with PBE was carried out for a geometry-optimized NaLi2TcH6 structure. Values from VASP.

E_tot = -3.567 eV/atom

Structure (Quantum ESPRESSO input):
```
&SYSTEM
  ibrav = 0, nat = 10, ntyp = 4
/
ATOMIC_SPECIES
Na 22.99 Na.upf
Li 6.94 Li.upf
Tc 98.00 Tc.upf
H 1.01 H.upf
CELL_PARAMETERS angstrom
-3.233 -4.197 0.058
2.238 -1.786 -4.457
2.014 -4.895 -0.173
ATOMIC_POSITIONS crystal
Na 0.000 0.000 0.000
Li 0.250 0.750 0.500
Li 0.750 0.250 0.500
Tc 0.500 0.500 0.000
H 0.268 0.732 0.000
H 0.732 0.732 0.000
H 0.268 0.268 0.463
H 0.732 0.268 0.000
H 0.268 0.268 0.000
H 0.732 0.732 0.537
```

***

Entry 8:
A plane-wave DFT calculation with PBE was carried out for a geometry-optimized GeSbAu2 structure. Values from VASP.

E_tot = -3.703 eV/atom
ΔE to the lowest computed polymorph = 115 meV/atom

Structure (Quantum ESPRESSO input):
```
&SYSTEM
  ibrav = 0, nat = 4, ntyp = 3
/
ATOMIC_SPECIES
Sb 121.76 Sb.upf
Ge 72.64 Ge.upf
Au 196.97 Au.upf
CELL_PARAMETERS angstrom
3.515 0.000 0.000
0.000 3.515 0.000
0.000 0.000 6.726
ATOMIC_POSITIONS crystal
Sb 0.500 0.500 0.500
Ge 0.500 0.500 0.000
Au 0.000 0.000 0.777
Au 0.000 0.000 0.223
```